First-principles (PBE) data for a relaxed structure of Ce2PrY6Tm3, as listed in Alexandria via LeMat-Bulk.

The formation enthalpy at 0 K comes out at 0.06 eV/atom. The calculation puts the density of states at the Fermi level at 24.05 states/eV/cell. The value obtained for the final energy is -5.679 eV per atom.

a b c (Å): 6.163 6.163 11.780
angles (deg): 95.01 95.01 119.99
Positions (direct):
Y 0.580 0.916 0.748
Pr 0.000 0.000 0.000
Y 0.084 0.420 0.252
Tm 0.166 0.834 0.500
Ce 0.333 0.667 0.000
Y 0.916 0.580 0.748
Tm 0.834 0.166 0.500
Y 0.420 0.084 0.252
Tm 0.500 0.500 0.500
Ce 0.667 0.333 0.000
Y 0.252 0.252 0.748
Y 0.748 0.748 0.252

---

First-principles (PBE) data for a relaxed structure of NdDyPdAu, as listed in Alexandria via LeMat-Bulk.

The polymorph energy (0 for the lowest one) is 4.9 kJ/mol of atoms. The formation enthalpy at 0 K comes out at -0.80 eV/atom. The calculation puts the density of states at the Fermi level at 2.81 states/eV/cell. The value obtained for the final energy is -5.257 eV per atom.

a b c (Å): 5.116 5.116 5.116
angles (deg): 60.00 60.00 60.00
Positions (direct):
Dy 0.250 0.250 0.250
Pd 0.500 0.500 0.500
Au 0.000 0.000 0.000
Nd 0.750 0.750 0.750

---

First-principles (PBE) data for a relaxed structure of LaScAlCd, as listed in Alexandria via LeMat-Bulk.

The formation enthalpy at 0 K comes out at -0.30 eV/atom. The calculation puts the density of states at the Fermi level at 3.98 states/eV/cell. The value obtained for the final energy is -4.283 eV per atom.

a b c (Å): 5.215 5.215 5.215
angles (deg): 60.00 60.00 60.00
Positions (direct):
Al 0.250 0.250 0.250
Sc 0.000 0.000 0.000
Cd 0.750 0.750 0.750
La 0.500 0.500 0.500